Entry 1:
# Ho3ZrTl3Se8

A relaxed Ho3ZrTl3Se8 crystal (PBE-GGA, Alexandria).

a = 9.172 Å, b = 9.172 Å, c = 9.172 Å
α = 52.86°, β = 52.86°, γ = 52.86°
Fractional coordinates of all 15 atoms:
Ho 0.000 0.500 0.500
Ho 0.500 0.000 0.500
Ho 0.500 0.500 0.000
Zr 0.000 0.000 0.000
Tl 0.000 0.000 0.500
Tl 0.000 0.500 0.000
Tl 0.500 0.000 0.000
Se 0.226 0.226 0.746
Se 0.226 0.746 0.226
Se 0.254 0.774 0.774
Se 0.265 0.265 0.265
Se 0.735 0.735 0.735
Se 0.746 0.226 0.226
Se 0.774 0.254 0.774
Se 0.774 0.774 0.254

Formation energy (no corrections) ... -1.38 eV per atom
Energy ... -77.907 eV for the cell shown


Entry 2:
# Ho6Tm2Se3

A relaxed Ho6Tm2Se3 crystal (PBE-GGA, Alexandria).

a = 25.074 Å, b = 25.074 Å, c = 25.074 Å
α = 8.62°, β = 8.62°, γ = 8.62°
Fractional coordinates of all 11 atoms:
Ho 0.074 0.074 0.074
Ho 0.185 0.185 0.185
Ho 0.358 0.358 0.358
Ho 0.642 0.642 0.642
Ho 0.815 0.815 0.815
Ho 0.926 0.926 0.926
Tm 0.444 0.444 0.444
Tm 0.556 0.556 0.556
Se 0.000 0.000 0.000
Se 0.285 0.285 0.285
Se 0.715 0.715 0.715

Formation energy (no corrections) ... -0.87 eV per atom
Energy ... -56.379 eV for the cell shown


Entry 3:
# HoTm3Se4

A relaxed HoTm3Se4 crystal (PBE-GGA, Alexandria).

a = 5.695 Å, b = 5.695 Å, c = 5.695 Å
α = 90.00°, β = 90.00°, γ = 90.00°
Fractional coordinates of all 8 atoms:
Ho 0.000 0.000 0.000
Tm 0.000 0.500 0.500
Tm 0.500 0.000 0.500
Tm 0.500 0.500 0.000
Se 0.000 0.000 0.500
Se 0.000 0.500 0.000
Se 0.500 0.000 0.000
Se 0.500 0.500 0.500

Formation energy (no corrections) ... -1.66 eV per atom
Energy ... -45.219 eV for the cell shown


Entry 4:
# Ho4TmSe7

A relaxed Ho4TmSe7 crystal (PBE-GGA, Alexandria).

a = 6.934 Å, b = 6.934 Å, c = 12.132 Å
α = 103.81°, β = 103.81°, γ = 33.05°
Fractional coordinates of all 12 atoms:
Ho 0.000 0.000 0.000
Ho 0.187 0.187 0.765
Ho 0.588 0.588 0.390
Ho 0.887 0.887 0.577
Tm 0.774 0.774 0.155
Se 0.147 0.147 0.225
Se 0.227 0.227 0.527
Se 0.386 0.386 0.078
Se 0.547 0.547 0.628
Se 0.630 0.630 0.931
Se 0.848 0.848 0.793
Se 0.926 0.926 0.360

Formation energy (no corrections) ... -1.85 eV per atom
Energy ... -69.333 eV for the cell shown


Entry 5:
# Ho4TmSe5

A relaxed Ho4TmSe5 crystal (PBE-GGA, Alexandria).

a = 7.005 Å, b = 7.005 Å, c = 7.005 Å
α = 99.65°, β = 99.65°, γ = 131.66°
Fractional coordinates of all 10 atoms:
Ho 0.098 0.302 0.400
Ho 0.302 0.902 0.204
Ho 0.698 0.098 0.796
Ho 0.902 0.698 0.600
Tm 0.500 0.500 0.000
Se 0.000 0.000 0.000
Se 0.203 0.601 0.804
Se 0.399 0.203 0.603
Se 0.601 0.797 0.397
Se 0.797 0.399 0.196

Formation energy (no corrections) ... -1.71 eV per atom
Energy ... -57.277 eV for the cell shown


Entry 6:
# Ho5TmSe6

A relaxed Ho5TmSe6 crystal (PBE-GGA, Alexandria).

a = 7.029 Å, b = 7.029 Å, c = 6.995 Å
α = 99.65°, β = 99.65°, γ = 120.18°
Fractional coordinates of all 12 atoms:
Ho 0.000 0.000 0.000
Ho 0.167 0.833 0.500
Ho 0.331 0.669 0.000
Ho 0.669 0.331 0.000
Ho 0.833 0.167 0.500
Tm 0.500 0.500 0.500
Se 0.087 0.417 0.252
Se 0.252 0.252 0.750
Se 0.417 0.087 0.252
Se 0.583 0.913 0.748
Se 0.748 0.748 0.250
Se 0.913 0.583 0.748

Formation energy (no corrections) ... -1.71 eV per atom
Energy ... -68.809 eV for the cell shown


Entry 7:
# Ho2Tm4Se9

A relaxed Ho2Tm4Se9 crystal (PBE-GGA, Alexandria).

a = 7.119 Å, b = 7.121 Å, c = 19.317 Å
α = 89.99°, β = 89.97°, γ = 60.03°
Fractional coordinates of all 30 atoms:
Ho 0.000 0.001 0.152
Ho 0.000 0.999 0.848
Ho 0.001 0.999 0.347
Ho 0.999 0.001 0.653
Tm 0.332 0.334 0.820
Tm 0.333 0.333 0.014
Tm 0.334 0.333 0.320
Tm 0.334 0.333 0.513
Tm 0.666 0.667 0.487
Tm 0.666 0.667 0.680
Tm 0.667 0.667 0.986
Tm 0.668 0.666 0.180
Se 0.001 0.308 0.250
Se 0.027 0.335 0.917
Se 0.027 0.637 0.417
Se 0.308 0.000 0.750
Se 0.308 0.691 0.250
Se 0.336 0.637 0.917
Se 0.337 0.026 0.417
Se 0.361 0.664 0.583
Se 0.364 0.973 0.083
Se 0.636 0.027 0.917
Se 0.639 0.336 0.417
Se 0.663 0.974 0.583
Se 0.664 0.363 0.083
Se 0.692 0.000 0.250
Se 0.692 0.309 0.750
Se 0.973 0.363 0.583
Se 0.973 0.665 0.083
Se 0.999 0.692 0.750

Formation energy (no corrections) ... -1.85 eV per atom
Energy ... -172.188 eV for the cell shown


Entry 8:
# HoTmSe3

A relaxed HoTmSe3 crystal (PBE-GGA, Alexandria).

a = 7.992 Å, b = 4.007 Å, c = 8.121 Å
α = 90.00°, β = 95.11°, γ = 90.00°
Fractional coordinates of all 10 atoms:
Ho 0.116 0.250 0.270
Ho 0.884 0.750 0.730
Tm 0.355 0.750 0.820
Tm 0.645 0.250 0.180
Se 0.121 0.250 0.889
Se 0.182 0.750 0.519
Se 0.394 0.750 0.179
Se 0.606 0.250 0.821
Se 0.818 0.250 0.481
Se 0.879 0.750 0.111

Formation energy (no corrections) ... -1.82 eV per atom
Energy ... -57.215 eV for the cell shown